A relaxed structure of LaMoF3. Source: Alexandria via LeMat-Bulk, functional GGA+U.

Lattice parameters (Å, degrees): 4.7660 4.7660 4.7660 90.00 90.00 90.00
Last column: nearest neighbours and their distance in Å.
Atoms (fractional coordinates):
La 0.0000 0.0000 0.0000  6 F 2.38
Mo 0.5000 0.5000 0.5000  12 F 3.37
F 0.0000 0.0000 0.5000  2 La 2.38
F 0.0000 0.5000 0.0000  2 La 2.38
F 0.5000 0.0000 0.0000  2 La 2.38

Summary:
Mass density ... 4.48 g/cm3
Space group ... Pm-3m (221)
Uncorrected energy ... -29.76 eV/cell